i:
Material: GeH2F4
Method: DFT, PBE
State: relaxed

Properties
Spin magnetization   0.0000 μB per atom
Calculated density   2.5 g/cm³
Space-group type   No. 2

Cell lengths 3.007, 6.186, 5.691 Å; angles 98.22, 105.96, 78.34 degrees
Positions (direct):
F  0.498  0.828  0.859
F  0.502  0.172  0.141
F  0.806  0.157  0.753
F  0.194  0.843  0.247
Ge  0.000  0.000  0.000
H  0.977  0.458  0.535
H  0.023  0.542  0.465

ii:
Material: GeH2F4
Method: DFT, PBE
State: relaxed

Properties
Spin magnetization   0.0000 μB per atom
Calculated density   3.6 g/cm³
Space-group type   No. 121

Cell lengths 3.757, 3.757, 5.579 Å; angles 109.67, 109.67, 90.00 degrees
Positions (direct):
F  0.078  0.078  0.672
F  0.406  0.922  0.328
F  0.594  0.594  0.672
F  0.922  0.406  0.328
H  0.750  0.250  0.500
H  0.250  0.750  0.500
Ge  0.500  0.500  0.000

Stability, descending: i, ii

i:
Material: GeH6F12
Method: DFT, PBE
State: relaxed

Properties
Spin magnetization   0.0112 μB per atom
Calculated density   2.3 g/cm³
Space-group type   No. 2

Cell lengths 7.231, 8.413, 9.592 Å; angles 97.22, 135.41, 119.60 degrees
Positions (direct):
F  0.833  0.317  0.164
F  0.968  0.024  0.795
F  0.523  0.589  0.680
F  0.879  0.864  0.430
F  0.197  0.691  0.256
F  0.803  0.309  0.744
F  0.532  0.899  0.764
F  0.167  0.683  0.836
F  0.121  0.136  0.570
F  0.477  0.411  0.320
F  0.032  0.976  0.205
F  0.468  0.101  0.236
H  0.551  0.854  0.497
H  0.034  0.526  0.818
H  0.836  0.557  0.581
H  0.164  0.443  0.419
H  0.449  0.146  0.503
H  0.966  0.474  0.182
Ge  0.000  0.000  0.000

ii:
Material: GeH6F12
Method: DFT, PBE
State: relaxed

Properties
Spin magnetization   0.1115 μB per atom
Calculated density   2.4 g/cm³
Space-group type   No. 148

Cell lengths 5.998, 5.998, 5.998 Å; angles 91.58, 91.58, 91.58 degrees
Positions (direct):
F  0.461  0.803  0.622
F  0.378  0.539  0.197
F  0.059  0.716  0.910
F  0.622  0.461  0.803
F  0.284  0.090  0.941
F  0.910  0.059  0.716
F  0.716  0.910  0.059
F  0.090  0.941  0.284
F  0.539  0.197  0.378
F  0.197  0.378  0.539
F  0.941  0.284  0.090
F  0.803  0.622  0.461
H  0.689  0.731  0.478
H  0.269  0.522  0.311
H  0.522  0.311  0.269
H  0.478  0.689  0.731
H  0.731  0.478  0.689
H  0.311  0.269  0.522
Ge  0.000  0.000  0.000

Stability, descending: i, ii

i:
Material: GeHNF2
Method: DFT, PBE
State: relaxed

Properties
Spin magnetization   0.3567 μB per atom
Calculated density   3.7 g/cm³
Space-group type   No. 123

Cell lengths 3.977, 3.977, 3.580 Å; angles 90.00, 90.00, 90.00 degrees
Positions (direct):
F  0.000  0.500  0.000
F  0.500  0.000  0.000
N  0.000  0.000  0.500
H  0.500  0.500  0.500
Ge  0.000  0.000  0.000

ii:
Material: GeHNF2
Method: DFT, PBE
State: relaxed

Properties
Spin magnetization   0.1758 μB per atom
Calculated density   4.8 g/cm³
Space-group type   No. 123

Cell lengths 3.161, 3.161, 4.346 Å; angles 90.00, 90.00, 90.00 degrees
Positions (direct):
F  0.500  0.000  0.000
F  0.000  0.500  0.000
N  0.000  0.000  0.500
H  0.000  0.000  0.000
Ge  0.500  0.500  0.500

Stability, descending: i, ii

i:
Material: RbGeHSeF
Method: DFT, PBE
State: relaxed

Properties
Spin magnetization   0.0000 μB per atom
Calculated density   3.2 g/cm³
Space-group type   No. 6

Cell lengths 5.183, 4.707, 5.415 Å; angles 90.00, 91.84, 90.00 degrees
Positions (direct):
Rb  0.094  0.500  0.546
Ge  0.460  0.000  0.049
H  0.191  0.000  0.898
F  0.304  0.000  0.360
Se  0.630  0.500  0.034

ii:
Material: RbGeHSeF
Method: DFT, PBE
State: relaxed

Properties
Spin magnetization   0.0000 μB per atom
Calculated density   3.7 g/cm³
Space-group type   No. 1

Cell lengths 4.125, 4.623, 6.253 Å; angles 91.09, 104.06, 97.21 degrees
Positions (direct):
Se  0.248  0.970  0.011
H  0.960  0.291  0.994
Rb  0.952  0.158  0.485
Ge  0.729  0.592  0.972
F  0.596  0.554  0.651

Stability, descending: i, ii